1.
The following is a DFT calculation (GGA-PBE) of a relaxed K2RbMgPt crystal.

Values from the calculation:
space-group type: P4/mmm, No. 123
formation energy: -0.0345 eV/atom
raw total energy: -2.19 eV per atom
spin magnetization: 0.00 μB per cell

Structure (POSCAR):
```
K2RbMgPt
1.0
6.441 0.000 0.000
0.000 6.441 0.000
0.000 0.000 5.179
K Pt Mg Rb
2 1 1 1
direct
0.000 0.500 0.000
0.500 0.000 0.000
0.000 0.000 0.000
0.000 0.000 0.500
0.500 0.500 0.500
```

2.
The following is a DFT calculation (GGA-PBE) of a relaxed KMgRePt2 crystal.

Values from the calculation:
space-group type: P4/mmm, No. 123
formation energy: 2.4179 eV/atom
raw total energy: -3.03 eV per atom
spin magnetization: 2.73 μB per cell

Structure (POSCAR):
```
KMgRePt2
1.0
4.995 0.000 0.000
0.000 4.751 0.000
0.000 0.000 4.995
Mg Re K Pt
1 1 1 2
direct
0.500 0.500 0.500
0.000 0.500 0.000
0.000 0.000 0.000
0.500 0.000 0.000
0.000 0.000 0.500
```

3.
The following is a DFT calculation (GGA-PBE) of a relaxed K2MgSb3Pt4 crystal.

Values from the calculation:
space-group type: P-4m2, No. 115
raw total energy: -4.56 eV per atom
spin magnetization: 0.00 μB per cell

Structure (POSCAR):
```
K2MgSb3Pt4
1.0
-3.366 2.334 -2.320
-0.679 -3.740 -2.777
-7.273 -3.728 6.801
Mg Pt Sb K
1 4 3 2
direct
0.500 0.500 0.500
0.000 0.000 0.000
0.000 0.500 0.377
0.500 0.500 0.000
0.500 0.000 0.623
0.500 0.000 0.875
0.000 0.500 0.125
0.000 0.000 0.500
0.000 0.500 0.753
0.500 0.000 0.247
```

4.
The following is a DFT calculation (GGA-PBE) of a relaxed KMg2SnPt crystal.

Values from the calculation:
space-group type: P4/mmm, No. 123
formation energy: -0.3212 eV/atom
raw total energy: -3.19 eV per atom
spin magnetization: 0.00 μB per cell

Structure (POSCAR):
```
KMg2SnPt
1.0
5.194 0.000 0.000
0.000 5.194 0.000
0.000 0.000 5.215
Sn Mg K Pt
1 2 1 1
direct
0.000 0.000 0.500
0.000 0.500 0.000
0.500 0.000 0.000
0.500 0.500 0.500
0.000 0.000 0.000
```

5.
The following is a DFT calculation (GGA-PBE) of a relaxed KMgTl2Pt crystal.

Values from the calculation:
space-group type: P4/mmm, No. 123
formation energy: -0.1663 eV/atom
raw total energy: -2.86 eV per atom
spin magnetization: 0.00 μB per cell

Structure (POSCAR):
```
KMgTl2Pt
1.0
-4.049 -1.930 3.021
3.211 0.075 4.351
-1.531 4.853 1.047
Tl Pt K Mg
2 1 1 1
direct
0.000 0.500 0.000
0.500 0.000 0.000
0.000 0.000 0.000
0.500 0.500 0.500
0.000 0.000 0.500
```

6.
The following is a DFT calculation (GGA-PBE) of a relaxed KMgPt2W crystal.

Values from the calculation:
space-group type: P4/mmm, No. 123
formation energy: 2.4180 eV/atom
raw total energy: -3.13 eV per atom
spin magnetization: 3.02 μB per cell

Structure (POSCAR):
```
KMgPt2W
1.0
-2.524 -3.678 -2.264
3.971 -2.626 -0.161
-1.124 -1.973 4.458
Mg Pt K W
1 2 1 1
direct
0.500 0.500 0.500
0.500 0.000 0.000
0.000 0.000 0.500
0.000 0.000 0.000
0.000 0.500 0.000
```

7.
The following is a DFT calculation (GGA-PBE) of a relaxed KMg2ZnPt crystal.

Values from the calculation:
space-group type: P4/mmm, No. 123
formation energy: -0.3288 eV/atom
raw total energy: -2.65 eV per atom
spin magnetization: 0.00 μB per cell

Structure (POSCAR):
```
KMg2ZnPt
1.0
-4.177 -1.582 2.524
-1.084 -3.242 -3.826
2.710 -3.562 2.251
Zn K Mg Pt
1 1 2 1
direct
0.000 0.000 0.500
0.500 0.500 0.500
0.500 0.000 0.000
0.000 0.500 0.000
0.000 0.000 0.000
```

8.
The following is a DFT calculation (GGA-PBE) of a relaxed K2PuMgS4 crystal.

Values from the calculation:
space-group type: P2/m, No. 10
raw total energy: -5.72 eV per atom
spin magnetization: 4.00 μB per cell

Structure (POSCAR):
```
K2PuMgS4
1.0
4.027 0.000 0.000
0.000 6.778 0.075
0.000 -2.414 7.284
Pu S Mg K
1 4 1 2
direct
0.500 0.500 0.000
0.000 0.732 0.198
0.500 0.769 0.808
0.000 0.268 0.802
0.500 0.231 0.192
0.000 0.000 0.000
0.000 0.500 0.500
0.500 0.000 0.500
```

9.
The following is a DFT calculation (GGA-PBE) of a relaxed K4Pu3MgS8 crystal.

Values from the calculation:
space-group type: R-3m, No. 166
raw total energy: -6.63 eV per atom
spin magnetization: 14.00 μB per cell

Structure (POSCAR):
```
K4Pu3MgS8
1.0
8.105 0.000 0.000
0.000 8.667 0.381
-4.052 -4.041 5.738
Mg S Pu K
1 8 3 4
direct
0.000 0.500 0.000
0.231 0.696 0.966
0.265 0.304 0.034
0.267 0.300 0.533
0.733 0.700 0.467
0.735 0.696 0.966
0.231 0.696 0.461
0.769 0.304 0.539
0.769 0.304 0.034
0.500 0.500 0.500
0.000 0.500 0.500
0.500 0.500 0.000
0.000 0.000 0.000
0.500 0.000 0.500
0.500 0.000 0.000
0.000 0.000 0.500
```

10.
The following is a DFT calculation (GGA-PBE) of a relaxed K3Pu3MgSe8 crystal.

Values from the calculation:
space-group type: C2/m, No. 12
raw total energy: -6.35 eV per atom
spin magnetization: 4.36 μB per cell

Structure (POSCAR):
```
K3Pu3MgSe8
1.0
-0.392 7.895 2.713
-5.963 -2.980 -5.014
0.067 -2.980 8.630
Se Pu K Mg
8 3 3 1
direct
0.229 0.965 0.695
0.266 0.530 0.294
0.734 0.470 0.706
0.229 0.459 0.695
0.771 0.035 0.305
0.730 0.962 0.695
0.771 0.541 0.305
0.270 0.038 0.305
0.500 0.000 0.500
0.500 0.500 0.500
0.000 0.500 0.500
0.000 0.500 0.000
0.000 0.000 0.000
0.500 0.500 0.000
0.000 0.000 0.500
```

11.
The following is a DFT calculation (GGA-PBE) of a relaxed K4Pu3MgSe8 crystal.

Values from the calculation:
space-group type: R-3m, No. 166
raw total energy: -6.19 eV per atom
spin magnetization: 14.00 μB per cell

Structure (POSCAR):
```
K4Pu3MgSe8
1.0
8.455 0.000 0.000
0.000 9.036 0.398
-4.228 -4.220 5.985
K Se Pu Mg
4 8 3 1
direct
0.500 0.000 0.500
0.000 0.000 0.500
0.500 0.000 0.000
0.000 0.000 0.000
0.231 0.700 0.463
0.769 0.300 0.031
0.737 0.700 0.969
0.231 0.700 0.969
0.769 0.300 0.537
0.263 0.300 0.031
0.735 0.705 0.470
0.265 0.295 0.530
0.500 0.500 0.500
0.500 0.500 0.000
0.000 0.500 0.500
0.000 0.500 0.000
```

12.
The following is a DFT calculation (GGA-PBE) of a relaxed K3Pu2MgTe6 crystal.

Values from the calculation:
space-group type: C2/m, No. 12
raw total energy: -5.38 eV per atom
spin magnetization: 9.00 μB per cell

Structure (POSCAR):
```
K3Pu2MgTe6
1.0
7.796 -0.001 0.000
-3.897 6.752 0.000
-1.300 -2.251 8.177
Te Mg K Pu
6 1 3 2
direct
0.932 0.603 0.796
0.603 0.932 0.796
0.068 0.397 0.204
0.261 0.261 0.796
0.397 0.068 0.204
0.739 0.739 0.204
0.000 0.000 0.000
0.833 0.167 0.500
0.167 0.833 0.500
0.500 0.500 0.500
0.667 0.333 0.000
0.333 0.667 0.000
```